## one
An optimized crystal structure of BaSrGaPd. Source: Alexandria via LeMat-Bulk, functional PBE-GGA.

As for the magnetic moment: 0.0 μB/f.u. The crystal system is cubic.

Cell: 5.5354 5.5354 5.5354 Å, 60.00 60.00 60.00°
With the nearest neighbours (Å) after each atom.
Fractional positions:
Ba1 0.0000 0.0000 0.0000  4 Ga 3.39, 4 Pd 3.39
Sr1 0.5000 0.5000 0.5000  4 Pd 3.39, 4 Ga 3.39
Ga1 0.2500 0.2500 0.2500  4 Sr 3.39, 4 Ba 3.39
Pd1 0.7500 0.7500 0.7500  4 Ba 3.39, 4 Sr 3.39


## two
An optimized crystal structure of BaSrGaPd. Source: Alexandria via LeMat-Bulk, functional PBE-GGA.

As for the magnetic moment: 0.0 μB/f.u. The crystal system is monoclinic.

Cell: 4.5323 4.5323 8.6457 Å, 105.31 105.31 60.01°
With the nearest neighbours (Å) after each atom.
Fractional positions:
Ba1 0.0000 0.0000 0.0000  3 Ga 3.41, 3 Pd 3.42
Sr1 0.8303 0.8303 0.4940  3 Pd 3.27, 3 Ga 3.28
Ga1 0.2445 0.2445 0.7350  3 Pd 2.62
Pd1 0.5770 0.5770 0.7324  3 Ga 2.62


The structure with the greatest stability is two.


## one
An optimized crystal structure of BaZnGa2Pd. Source: Alexandria via LeMat-Bulk, functional PBE-GGA.

As for the magnetic moment: 0.0 μB/f.u. The crystal system is tetragonal.

Cell: 6.1377 6.1377 6.1377 Å, 135.49 135.49 64.76°
With the nearest neighbours (Å) after each atom.
Fractional positions:
Ba1 0.0000 0.0000 0.0000  4 Zn 3.48, 4 Pd 3.48, 10 Ga 3.57-3.79
Zn1 0.2500 0.7500 0.5000  4 Ga 2.61
Ga1 0.3652 0.3652 0.0000  2 Pd 2.61, 2 Zn 2.61, 1 Ga 2.80
Ga2 0.6348 0.6348 0.0000  2 Pd 2.61, 2 Zn 2.61, 1 Ga 2.80
Pd1 0.7500 0.2500 0.5000  4 Ga 2.61


## two
An optimized crystal structure of BaZnGa2Pd. Source: Alexandria via LeMat-Bulk, functional PBE-GGA.

As for the magnetic moment: 0.0 μB/f.u. The crystal system is tetragonal.

Cell: 4.9138 4.9138 4.9806 Å, 90.00 90.00 90.00°
With the nearest neighbours (Å) after each atom.
Fractional positions:
Ba1 0.0000 0.0000 0.0000  4 Zn 3.47, 8 Ga 3.50
Zn1 0.5000 0.5000 0.0000  2 Pd 2.49
Ga1 0.0000 0.5000 0.5000  2 Pd 2.46
Ga2 0.5000 0.0000 0.5000  2 Pd 2.46
Pd1 0.5000 0.5000 0.5000  4 Ga 2.46, 2 Zn 2.49


The structure with the greatest stability is one.


## one
An optimized crystal structure of BaPm2Ga6. Source: Alexandria via LeMat-Bulk, functional PBE-GGA.

As for the magnetic moment: 0.0 μB/f.u. The crystal system is hexagonal.

Cell: 7.5244 7.5244 4.4964 Å, 90.00 90.00 120.00°
With the nearest neighbours (Å) after each atom.
Fractional positions:
Ba1 0.0000 0.0000 0.0000  12 Ga 3.40
Pm1 0.3333 0.6667 0.0000  12 Ga 3.35
Pm2 0.6667 0.3333 0.0000  12 Ga 3.35
Ga1 0.0000 0.3388 0.5000  3 Ga 2.43-2.55
Ga2 0.0000 0.6612 0.5000  3 Ga 2.43-2.55
Ga3 0.3388 0.0000 0.5000  3 Ga 2.43-2.55
Ga4 0.3388 0.3388 0.5000  3 Ga 2.43-2.55
Ga5 0.6612 0.0000 0.5000  3 Ga 2.43-2.55
Ga6 0.6612 0.6612 0.5000  3 Ga 2.43-2.55


## two
An optimized crystal structure of BaPm2Ga6. Source: Alexandria via LeMat-Bulk, functional PBE-GGA.

As for the magnetic moment: 0.0 μB/f.u. The crystal system is orthorhombic.

Cell: 7.9012 7.9012 7.9012 Å, 146.16 121.02 69.76°
With the nearest neighbours (Å) after each atom.
Fractional positions:
Ba1 0.0000 0.0000 0.0000  12 Ga 3.47-3.70
Pm1 0.3712 0.8712 0.5000  6 Ga 2.90-3.12
Pm2 0.6288 0.1288 0.5000  6 Ga 2.90-3.12
Ga1 0.0225 0.3149 0.7077  1 Ga 2.59, 1 Pm 2.90
Ga2 0.3338 0.5000 0.8338  3 Ga 2.59
Ga3 0.3928 0.6851 0.7077  1 Ga 2.59, 1 Pm 2.90
Ga4 0.6072 0.3149 0.2923  1 Ga 2.59, 1 Pm 2.90
Ga5 0.6662 0.5000 0.1662  3 Ga 2.59
Ga6 0.9775 0.6851 0.2923  1 Ga 2.59, 1 Pm 2.90


The structure with the greatest stability is one.


## one
An optimized crystal structure of BaPmGa. Source: Alexandria via LeMat-Bulk, functional PBE-GGA.

As for the magnetic moment: 0.0 μB/f.u. The crystal system is tetragonal.

Cell: 5.1782 5.1782 7.9696 Å, 90.00 90.00 90.00°
With the nearest neighbours (Å) after each atom.
Fractional positions:
Ba1 0.2500 0.2500 0.1298  1 Ga 3.34
Ba2 0.7500 0.7500 0.8702  1 Ga 3.34
Pm1 0.2500 0.7500 0.5000  4 Ga 3.09
Pm2 0.7500 0.2500 0.5000  4 Ga 3.09
Ga1 0.2500 0.2500 0.7111  4 Pm 3.09, 1 Ba 3.34
Ga2 0.7500 0.7500 0.2889  4 Pm 3.09, 1 Ba 3.34


## two
An optimized crystal structure of BaPmGa. Source: Alexandria via LeMat-Bulk, functional PBE-GGA.

As for the magnetic moment: 0.0 μB/f.u. The crystal system is trigonal.

Cell: 5.0926 5.0926 4.9033 Å, 90.00 90.00 120.00°
With the nearest neighbours (Å) after each atom.
Fractional positions:
Ba1 0.0000 0.0000 0.0000  6 Ga 3.82-3.83, 6 Pm 3.83
Pm1 0.3333 0.6667 0.4997  3 Ga 2.94
Ga1 0.6667 0.3333 0.5014  3 Pm 2.94


The structure with the greatest stability is one.


## one
An optimized crystal structure of BaPmGa4. Source: Alexandria via LeMat-Bulk, functional PBE-GGA.

As for the magnetic moment: 0.0 μB/f.u. The crystal system is cubic.

Cell: 5.7960 5.7960 5.7960 Å, 60.00 60.00 60.00°
With the nearest neighbours (Å) after each atom.
Fractional positions:
Ba1 0.0000 0.0000 0.0000  12 Ga 3.40, 4 Pm 3.55
Pm1 0.2500 0.2500 0.2500  12 Ga 3.40, 4 Ba 3.55
Ga1 0.1269 0.6244 0.6244  6 Ga 2.88-2.91
Ga2 0.6244 0.1269 0.6244  6 Ga 2.88-2.91
Ga3 0.6244 0.6244 0.1269  6 Ga 2.88-2.91
Ga4 0.6244 0.6244 0.6244  6 Ga 2.88-2.91


## two
An optimized crystal structure of BaPmGa4. Source: Alexandria via LeMat-Bulk, functional PBE-GGA.

As for the magnetic moment: 0.0 μB/f.u. The crystal system is tetragonal.

Cell: 8.4296 8.4296 8.4296 Å, 149.61 149.61 43.52°
With the nearest neighbours (Å) after each atom.
Fractional positions:
Ba1 0.0000 0.0000 0.0000  12 Ga 3.43-3.48
Pm1 0.2500 0.7500 0.5000  12 Ga 3.34-3.36
Ga1 0.4098 0.4098 0.0000  3 Ga 2.55-2.82
Ga2 0.5902 0.5902 0.0000  3 Ga 2.55-2.82
Ga3 0.6714 0.1714 0.5000  3 Ga 2.46-2.55
Ga4 0.8286 0.3286 0.5000  3 Ga 2.46-2.55


The structure with the greatest stability is two.


## one
An optimized crystal structure of BaPrGa. Source: Alexandria via LeMat-Bulk, functional PBE-GGA.

As for the magnetic moment: 0.0 μB/f.u. The crystal system is tetragonal.

Cell: 7.5027 7.5027 7.5027 Å, 149.39 149.39 43.84°
With the nearest neighbours (Å) after each atom.
Fractional positions:
Ba1 0.0000 0.0000 0.0000  4 Ga 3.60, 1 Pr 3.64, 4 Ba 3.96
Pr1 0.2615 0.2615 0.0000  4 Ga 3.12
Ga1 0.6624 0.6624 0.0000  4 Pr 3.12


## two
An optimized crystal structure of BaPrGa. Source: Alexandria via LeMat-Bulk, functional PBE-GGA.

As for the magnetic moment: 0.0 μB/f.u. The crystal system is tetragonal.

Cell: 5.2147 5.2147 8.0394 Å, 90.00 90.00 90.00°
With the nearest neighbours (Å) after each atom.
Fractional positions:
Ba1 0.2500 0.2500 0.1292  1 Ga 3.33
Ba2 0.7500 0.7500 0.8708  1 Ga 3.33
Pr1 0.2500 0.7500 0.5000  4 Ga 3.13
Pr2 0.7500 0.2500 0.5000  4 Ga 3.13
Ga1 0.2500 0.2500 0.7146  4 Pr 3.13, 1 Ba 3.33
Ga2 0.7500 0.7500 0.2854  4 Pr 3.13, 1 Ba 3.33


The structure with the greatest stability is two.


## one
An optimized crystal structure of Ba2PrGaS5. Source: Alexandria via LeMat-Bulk, functional PBE-GGA.

As for the magnetic moment: 0.0 μB/f.u. The crystal system is orthorhombic.

Cell: 9.0323 8.9522 8.2504 Å, 63.19 62.20 54.61°
With the nearest neighbours (Å) after each atom.
Fractional positions:
Ba1 0.1576 0.8424 0.1576  8 S 3.05-3.28
Ba2 0.2500 0.2500 0.2500  10 S 3.42-3.52
Ba3 0.7500 0.7500 0.7500  10 S 3.42-3.52
Ba4 0.8424 0.1576 0.8424  8 S 3.05-3.28
Pr1 0.3338 0.6662 0.6662  8 S 2.87-3.15
Pr2 0.6662 0.3338 0.3338  8 S 2.87-3.15
Ga1 0.2489 0.2489 0.7511  4 S 2.26-2.29
Ga2 0.7511 0.7511 0.2489  4 S 2.26-2.29
S1 0.0000 0.0000 0.5000  4 Ba 3.08-3.42, 2 Pr 3.10
S2 0.0098 0.6967 0.9902  1 Ga 2.29
S3 0.2232 0.5017 0.4983  1 Ga 2.26
S4 0.3033 0.9902 0.6967  1 Ga 2.29
S5 0.4983 0.7768 0.2232  1 Ga 2.26
S6 0.5000 0.5000 0.0000  4 Ba 3.08-3.42, 2 Pr 3.10
S7 0.5017 0.2232 0.7768  1 Ga 2.26
S8 0.6967 0.0098 0.3033  1 Ga 2.29
S9 0.7768 0.4983 0.5017  1 Ga 2.26
S10 0.9902 0.3033 0.0098  1 Ga 2.29


## two
An optimized crystal structure of Ba2PrGaS5. Source: Alexandria via LeMat-Bulk, functional PBE-GGA.

As for the magnetic moment: 0.0 μB/f.u. The crystal system is orthorhombic.

Cell: 9.4658 9.4658 13.1829 Å, 90.00 90.00 154.73°
With the nearest neighbours (Å) after each atom.
Fractional positions:
Ba1 0.1178 0.8822 0.5000  7 S 3.15-3.45
Ba2 0.1261 0.8739 0.1488  6 S 3.16-3.26
Ba3 0.8739 0.1261 0.6488  6 S 3.16-3.26
Ba4 0.8822 0.1178 0.0000  7 S 3.15-3.45
Pr1 0.2009 0.7991 0.8465  6 S 2.74-3.04
Pr2 0.7991 0.2009 0.3465  6 S 2.74-3.04
Ga1 0.4451 0.5549 0.2365  4 S 2.24-2.44
Ga2 0.5549 0.4451 0.7365  4 S 2.24-2.44
S1 0.0365 0.9635 0.8307  2 Ga 2.44
S2 0.2977 0.7023 0.4903  2 Pr 2.81
S3 0.3224 0.6776 0.1918  1 Ga 2.34
S4 0.3487 0.6513 0.8263  1 Pr 2.74
S5 0.4970 0.5030 0.5874  1 Ga 2.24
S6 0.5030 0.4970 0.0874  1 Ga 2.24
S7 0.6513 0.3487 0.3263  1 Pr 2.74
S8 0.6776 0.3224 0.6918  1 Ga 2.34
S9 0.7023 0.2977 0.9903  2 Pr 2.81
S10 0.9635 0.0365 0.3307  2 Ga 2.44


The structure with the greatest stability is two.


## one
An optimized crystal structure of Ba2GaPt3. Source: Alexandria via LeMat-Bulk, functional PBE-GGA.

As for the magnetic moment: 0.0 μB/f.u. The crystal system is orthorhombic.

Cell: 7.2106 7.2106 7.2106 Å, 144.56 131.07 61.85°
With the nearest neighbours (Å) after each atom.
Fractional positions:
Ba1 0.1784 0.1784 0.0000  6 Pt 3.10-3.40
Ba2 0.8216 0.8216 0.0000  6 Pt 3.10-3.40
Ga1 0.5000 0.5000 0.0000  4 Pt 2.59
Pt1 0.0000 0.5000 0.5000  2 Ga 2.99, 4 Ba 3.11
Pt2 0.3887 0.8887 0.5000  2 Ga 2.59, 1 Pt 2.75
Pt3 0.6113 0.1113 0.5000  2 Ga 2.59, 1 Pt 2.75


## two
An optimized crystal structure of Ba2GaPt3. Source: Alexandria via LeMat-Bulk, functional PBE-GGA.

As for the magnetic moment: 0.0 μB/f.u. The crystal system is orthorhombic.

Cell: 4.3633 4.6491 7.9611 Å, 90.00 90.00 90.00°
With the nearest neighbours (Å) after each atom.
Fractional positions:
Ba1 0.0000 0.0000 0.0000  10 Pt 3.37-3.57, 2 Ga 3.63
Ba2 0.5000 0.0000 0.4638  8 Pt 3.34-3.59, 4 Ga 3.51
Ga1 0.0000 0.5000 0.6495  3 Pt 2.46-2.52
Pt1 0.0000 0.5000 0.3399  1 Ga 2.46, 2 Pt 2.71
Pt2 0.5000 0.5000 0.1389  3 Pt 2.64-2.71
Pt3 0.5000 0.5000 0.8077  2 Ga 2.52, 1 Pt 2.64


The structure with the greatest stability is two.


## one
An optimized crystal structure of Ba3GaPt. Source: Alexandria via LeMat-Bulk, functional PBE-GGA.

As for the magnetic moment: 0.9 μB/f.u. The crystal system is cubic.

Cell: 6.1342 6.1342 6.1342 Å, 90.00 90.00 90.00°
With the nearest neighbours (Å) after each atom.
Fractional positions:
Ba1 0.0000 0.0000 0.5000  2 Pt 3.07
Ba2 0.0000 0.5000 0.0000  2 Pt 3.07
Ba3 0.5000 0.0000 0.0000  2 Pt 3.07
Ga1 0.5000 0.5000 0.5000  12 Ba 4.34
Pt1 0.0000 0.0000 0.0000  6 Ba 3.07


## two
An optimized crystal structure of Ba3GaPt. Source: Alexandria via LeMat-Bulk, functional PBE-GGA.

As for the magnetic moment: 0.0 μB/f.u. The crystal system is triclinic.

Cell: 4.6038 9.0008 10.9052 Å, 96.80 101.17 90.26°
With the nearest neighbours (Å) after each atom.
Fractional positions:
Ba1 0.0958 0.3598 0.1627  2 Pt 3.11-3.12
Ba2 0.2475 0.6806 0.4926  3 Pt 3.22-3.23, 3 Ga 3.31-3.47
Ba3 0.3842 0.1214 0.7845  1 Pt 3.21, 2 Ga 3.48-3.49
Ba4 0.6158 0.8786 0.2155  1 Pt 3.21, 2 Ga 3.48-3.49
Ba5 0.7525 0.3194 0.5074  3 Pt 3.22-3.23, 3 Ga 3.31-3.47
Ba6 0.9042 0.6402 0.8373  2 Pt 3.11-3.12
Ga1 0.2207 0.0345 0.4385  2 Ga 2.75-2.77
Ga2 0.7793 0.9655 0.5615  2 Ga 2.75-2.77
Pt1 0.3410 0.4518 0.7014  6 Ba 3.11-3.23
Pt2 0.6590 0.5482 0.2986  6 Ba 3.11-3.23


The structure with the greatest stability is two.


## one
An optimized crystal structure of Ba2Ga2Pt. Source: Alexandria via LeMat-Bulk, functional PBE-GGA.

As for the magnetic moment: 0.0 μB/f.u. The crystal system is orthorhombic.

Cell: 4.6865 7.8809 7.8809 Å, 31.49 90.00 90.00°
With the nearest neighbours (Å) after each atom.
Fractional positions:
Ba1 0.0000 0.0000 0.0000  8 Ga 3.46-3.81, 2 Pt 3.60, 1 Ba 3.73
Ba2 0.0000 0.2460 0.2460  4 Pt 3.36, 6 Ga 3.41-3.56, 1 Ba 3.73
Ga1 0.5000 0.4095 0.4095  2 Pt 2.53
Ga2 0.5000 0.6393 0.6393  1 Pt 2.74
Pt1 0.5000 0.8199 0.8199  3 Ga 2.53-2.74


## two
An optimized crystal structure of Ba2Ga2Pt. Source: Alexandria via LeMat-Bulk, functional PBE-GGA.

As for the magnetic moment: 0.0 μB/f.u. The crystal system is tetragonal.

Cell: 7.1141 7.1141 5.3125 Å, 90.00 90.00 90.00°
With the nearest neighbours (Å) after each atom.
Fractional positions:
Ba1 0.1831 0.3169 0.0000  6 Ga 3.24-3.50
Ba2 0.3169 0.8169 0.0000  6 Ga 3.24-3.50
Ba3 0.6831 0.1831 0.0000  6 Ga 3.24-3.50
Ba4 0.8169 0.6831 0.0000  6 Ga 3.24-3.50
Ga1 0.1332 0.6332 0.5000  1 Ga 2.68, 2 Pt 2.78
Ga2 0.3668 0.1332 0.5000  1 Ga 2.68, 2 Pt 2.78
Ga3 0.6332 0.8668 0.5000  1 Ga 2.68, 2 Pt 2.78
Ga4 0.8668 0.3668 0.5000  1 Ga 2.68, 2 Pt 2.78
Pt1 0.0000 0.0000 0.5000  4 Ga 2.78
Pt2 0.5000 0.5000 0.5000  4 Ga 2.78


The structure with the greatest stability is one.


## one
An optimized crystal structure of BaGa3Pt. Source: Alexandria via LeMat-Bulk, functional PBE-GGA.

As for the magnetic moment: 0.0 μB/f.u. The crystal system is tetragonal.

Cell: 6.2751 6.2751 6.2751 Å, 137.29 137.29 62.00°
With the nearest neighbours (Å) after each atom.
Fractional positions:
Ba1 0.0000 0.0000 0.0000  12 Ga 3.42-3.54, 4 Pt 3.54
Ga1 0.2483 0.7483 0.5000  2 Pt 2.59, 2 Ga 2.78
Ga2 0.3947 0.3947 0.0000  1 Pt 2.58, 4 Ga 2.78
Ga3 0.7483 0.2483 0.5000  2 Pt 2.59, 2 Ga 2.78
Pt1 0.6349 0.6349 0.0000  5 Ga 2.58-2.59


## two
An optimized crystal structure of BaGa3Pt. Source: Alexandria via LeMat-Bulk, functional PBE-GGA.

As for the magnetic moment: 0.0 μB/f.u. The crystal system is cubic.

Cell: 4.9811 4.9811 4.9811 Å, 90.00 90.00 90.00°
With the nearest neighbours (Å) after each atom.
Fractional positions:
Ba1 0.0000 0.0000 0.0000  12 Ga 3.52
Ga1 0.0000 0.5000 0.5000  2 Pt 2.49
Ga2 0.5000 0.0000 0.5000  2 Pt 2.49
Ga3 0.5000 0.5000 0.0000  2 Pt 2.49
Pt1 0.5000 0.5000 0.5000  6 Ga 2.49


## three
An optimized crystal structure of BaGa3Pt. Source: Alexandria via LeMat-Bulk, functional PBE-GGA.

As for the magnetic moment: 0.0 μB/f.u. The crystal system is cubic.

Cell: 5.8543 5.8543 5.8543 Å, 90.00 90.00 90.00°
With the nearest neighbours (Å) after each atom.
Fractional positions:
Ba1 0.0000 0.0000 0.0000  6 Ga 2.93
Ga1 0.0000 0.0000 0.5000  2 Ba 2.93
Ga2 0.0000 0.5000 0.0000  2 Ba 2.93
Ga3 0.5000 0.0000 0.0000  2 Ba 2.93
Pt1 0.5000 0.5000 0.5000  12 Ga 4.14


The structure with the greatest stability is one.


## one
An optimized crystal structure of BaZn2GaPt. Source: Alexandria via LeMat-Bulk, functional PBE-GGA.

As for the magnetic moment: 0.0 μB/f.u. The crystal system is tetragonal.

Cell: 4.9655 4.9655 4.8715 Å, 90.00 90.00 90.00°
With the nearest neighbours (Å) after each atom.
Fractional positions:
Ba1 0.0000 0.0000 0.0000  8 Zn 3.48, 4 Ga 3.51
Zn1 0.0000 0.5000 0.5000  2 Pt 2.48
Zn2 0.5000 0.0000 0.5000  2 Pt 2.48
Ga1 0.5000 0.5000 0.0000  2 Pt 2.44
Pt1 0.5000 0.5000 0.5000  2 Ga 2.44, 4 Zn 2.48


## two
An optimized crystal structure of BaZn2GaPt. Source: Alexandria via LeMat-Bulk, functional PBE-GGA.

As for the magnetic moment: 0.0 μB/f.u. The crystal system is orthorhombic.

Cell: 6.3285 6.3285 6.3285 Å, 139.25 136.99 60.74°
With the nearest neighbours (Å) after each atom.
Fractional positions:
Ba1 0.0000 0.0000 0.0000  8 Zn 3.43-3.63, 4 Pt 3.49, 4 Ga 3.53-3.56
Zn1 0.6135 0.6135 0.0000  1 Pt 2.63, 2 Zn 2.69, 2 Ga 2.78
Zn2 0.7554 0.2554 0.5000  2 Pt 2.65, 2 Zn 2.69
Ga1 0.2530 0.7530 0.5000  2 Pt 2.56, 2 Zn 2.78
Pt1 0.3725 0.3725 0.0000  2 Ga 2.56, 3 Zn 2.63-2.65


The structure with the greatest stability is two.